# BaCo2F GGA+U optimized geometry
data_BaCo2F
_chemical_formula_sum 'Ba4 Co8 F4'
_cell_length_a 7.465
_cell_length_b 7.465
_cell_length_c 7.465
_cell_angle_alpha 90.00
_cell_angle_beta 90.00
_cell_angle_gamma 90.00
_space_group_name_H-M_alt 'F m -3 m'
_space_group_IT_number 225
_space_group_name_Hall '-F 4 2 3'
loop_
_atom_site_label
_atom_site_type_symbol
_atom_site_fract_x
_atom_site_fract_y
_atom_site_fract_z
_atom_site_occupancy
Ba1 Ba 0.000 0.000 0.000 1
Co1 Co 0.250 0.250 0.250 1
F1 F 0.000 0.000 0.500 1
# Crystal system = cubic
# Total moment = 5.0 μB per formula unit
# E = -2.8749 eV/atom